## one
A plane-wave DFT calculation with PBE was carried out for a relaxed structure of MgScZnBi.

a b c (Å): 5.0804 5.0804 5.0804
angles (deg): 60.00 60.00 60.00
Sites, in units of the cell vectors:
Mg: 0.0000 0.0000 0.0000
Sc: 0.7500 0.7500 0.7500
Zn: 0.5000 0.5000 0.5000
Bi: 0.2500 0.2500 0.2500

- Total moment: 0.00 μB per formula unit
- Space group: F-43m
- Calculated volume: 92.72 Å³/cell
- Mass density: 6154 kg/m3

## two
A plane-wave DFT calculation with PBE was carried out for a relaxed structure of MgScZnBi.

a b c (Å): 5.0368 5.0368 5.0368
angles (deg): 60.00 60.00 60.00
Sites, in units of the cell vectors:
Mg: 0.0000 0.0000 0.0000
Sc: 0.5000 0.5000 0.5000
Zn: 0.7500 0.7500 0.7500
Bi: 0.2500 0.2500 0.2500

- Total moment: 0.08 μB per formula unit
- Space group: F-43m
- Calculated volume: 90.36 Å³/cell
- Mass density: 6315 kg/m3

Name the most stable of them. two.

## one
A plane-wave DFT calculation with PBE was carried out for a relaxed structure of MgTaBiTe.

a b c (Å): 5.0695 5.0695 5.0695
angles (deg): 60.00 60.00 60.00
Sites, in units of the cell vectors:
Mg: 0.0000 0.0000 0.0000
Ta: 0.5000 0.5000 0.5000
Bi: 0.7500 0.7500 0.7500
Te: 0.2500 0.2500 0.2500

- Total moment: 1.62 μB per formula unit
- Space group: F-43m
- Calculated volume: 92.12 Å³/cell
- Mass density: 9767 kg/m3

## two
A plane-wave DFT calculation with PBE was carried out for a relaxed structure of MgTaBiTe.

a b c (Å): 5.1379 5.1379 5.1379
angles (deg): 60.00 60.00 60.00
Sites, in units of the cell vectors:
Mg: 0.0000 0.0000 0.0000
Ta: 0.7500 0.7500 0.7500
Bi: 0.2500 0.2500 0.2500
Te: 0.5000 0.5000 0.5000

- Total moment: 1.87 μB per formula unit
- Space group: F-43m
- Calculated volume: 95.90 Å³/cell
- Mass density: 9382 kg/m3

Name the most stable of them. one.

## one
A plane-wave DFT calculation with PBE was carried out for a relaxed structure of TmMgBi.

a b c (Å): 5.0697 5.0697 5.0697
angles (deg): 60.00 60.00 60.00
Sites, in units of the cell vectors:
Tm: 0.0000 0.0000 0.0000
Mg: 0.5000 0.5000 0.5000
Bi: 0.7500 0.7500 0.7500

- Total moment: 0.00 μB per formula unit
- Space group: F-43m
- Calculated volume: 92.14 Å³/cell
- Mass density: 7249 kg/m3

## two
A plane-wave DFT calculation with PBE was carried out for a relaxed structure of TmMgBi.

a b c (Å): 5.1507 5.1507 5.1507
angles (deg): 60.00 60.00 60.00
Sites, in units of the cell vectors:
Tm: 0.0000 0.0000 0.0000
Mg: 0.2500 0.2500 0.2500
Bi: 0.7500 0.7500 0.7500

- Total moment: 0.00 μB per formula unit
- Space group: F-43m
- Calculated volume: 96.62 Å³/cell
- Mass density: 6912 kg/m3

Name the most stable of them. two.